# Rb3CdFe2F9 (GGA+U, relaxed)
# DOS at the Fermi energy = 0.00 states/eV per cell
# Final energy = -70.431 eV/cell
# Crystal system = trigonal
# Space-group type = P-3m1 (164)
data_Rb3CdFe2F9
_cell_length_a 6.152
_cell_length_b 6.152
_cell_length_c 7.385
_cell_angle_alpha 90.00
_cell_angle_beta 90.00
_cell_angle_gamma 120.00
_space_group_name_H-M_alt 'P 1'
_space_group_IT_number 1
loop_
_space_group_symop_operation_xyz
'x,y,z'
loop_
_atom_site_label
_atom_site_type_symbol
_atom_site_fract_x
_atom_site_fract_y
_atom_site_fract_z
_atom_site_occupancy
Rb1 Rb 0.000 0.000 0.000 1
Rb2 Rb 0.333 0.667 0.667 1
Rb3 Rb 0.667 0.333 0.333 1
Cd1 Cd 0.000 0.000 0.500 1
Fe1 Fe 0.333 0.667 0.157 1
Fe2 Fe 0.667 0.333 0.843 1
F1 F 0.000 0.500 0.000 1
F2 F 0.172 0.343 0.321 1
F3 F 0.172 0.828 0.321 1
F4 F 0.343 0.172 0.679 1
F5 F 0.500 0.000 0.000 1
F6 F 0.500 0.500 0.000 1
F7 F 0.657 0.828 0.321 1
F8 F 0.828 0.172 0.679 1
F9 F 0.828 0.657 0.679 1